# 1
The following is a PBE-GGA calculation of a relaxed structure of SmNb2Pd9, from the Alexandria database.

It has space group P4/mmm (No. 123), with a = 4.041 Å, b = 4.041 Å, c = 12.145 Å, α = 90.00°, β = 90.00° and γ = 90.00°. The distinct sites, in fractional coordinates, are Sm at (0.000, 0.000, 0.000), Nb at (0.000, 0.000, 0.336), Pd at (0.000, 0.500, 0.181), Pd at (0.000, 0.500, 0.500), Pd at (0.500, 0.500, 0.000) and Pd at (0.500, 0.500, 0.341).

The value obtained for the electronic total energy is -77.5 eV per cell. The calculation puts the formation energy at -0.4907 eV/atom.

# 2
The following is a PBE-GGA calculation of a relaxed structure of Ca5Ag4Au, from the Alexandria database.

It has space group P4/mmm (No. 123), with a = 3.718 Å, b = 3.718 Å, c = 18.300 Å, α = 90.00°, β = 90.00° and γ = 90.00°. The distinct sites, in fractional coordinates, are Ca at (0.000, 0.000, 0.000), Ca at (0.000, 0.000, 0.201), Ca at (0.000, 0.000, 0.404), Ag at (0.500, 0.500, 0.101), Ag at (0.500, 0.500, 0.302) and Au at (0.500, 0.500, 0.500).

The value obtained for the electronic total energy is -28.8 eV per cell. The calculation puts the formation energy at -0.4132 eV/atom.

# 3
The following is a PBE-GGA calculation of a relaxed structure of Pm8NdEr3, from the Alexandria database.

It has space group I222 (No. 23), with a = 6.623 Å, b = 11.318 Å, c = 11.572 Å, α = 90.00°, β = 90.00° and γ = 90.00°. The distinct sites, in fractional coordinates, are Pm at (0.000, 0.165, 0.249), Pm at (0.239, 0.263, 0.501), Nd at (0.000, 0.000, 0.500), Er at (0.000, 0.000, 0.000) and Er at (0.000, 0.500, 0.265).

The value obtained for the electronic total energy is -104.7 eV per cell. The calculation puts the formation energy at 0.3439 eV/atom.

# 4
The following is a PBE-GGA calculation of a relaxed structure of HoPaReTc, from the Alexandria database.

It has space group F-43m (No. 216), with a = 6.851 Å, b = 6.851 Å, c = 6.851 Å, α = 90.00°, β = 90.00° and γ = 90.00°. The distinct sites, in fractional coordinates, are Ho at (0.000, 0.000, 0.000), Pa at (0.000, 0.000, 0.500), Re at (0.250, 0.250, 0.750) and Tc at (0.250, 0.250, 0.250).

The value obtained for the electronic total energy is -148.4 eV per cell. The calculation puts the formation energy at -0.0512 eV/atom.

# 5
The following is a PBE-GGA calculation of a relaxed structure of SiAgAs2, from the Alexandria database.

It has space group P4mm (No. 99), with a = 3.538 Å, b = 3.538 Å, c = 6.708 Å, α = 90.00°, β = 90.00° and γ = 90.00°. The distinct sites, in fractional coordinates, are Si at (0.000, 0.000, 0.000), Ag at (0.500, 0.500, 0.251), As at (0.000, 0.000, 0.387) and As at (0.500, 0.500, 0.849).

The value obtained for the electronic total energy is -16.3 eV per cell. The value obtained for the raw formation energy is 0.3282 eV/atom.

# 6
The following is a PBE-GGA calculation of a relaxed structure of Ag2HgPdF8, from the Alexandria database.

It has space group P-3m1 (No. 164), with a = 5.6101 Å, b = 5.6101 Å, c = 6.4990 Å, α = 90.00°, β = 90.00° and γ = 120.00°. The distinct sites, in fractional coordinates, are Ag at (0.3333, 0.6667, 0.3679), Hg at (0.0000, 0.0000, 0.0000), Pd at (0.0000, 0.0000, 0.5000), F at (0.1596, 0.3192, 0.6875) and F at (0.3333, 0.6667, 0.0408).

The value obtained for the electronic total energy is -38.4 eV per cell. The value obtained for the raw formation energy is -1.0210 eV/atom.

# 7
The following is a PBE-GGA calculation of a relaxed structure of MgH2Br, from the Alexandria database.

It has space group I-42d (No. 122), with a = 5.373 Å, b = 5.373 Å, c = 9.193 Å, α = 90.00°, β = 90.00° and γ = 90.00°. The distinct sites, in fractional coordinates, are Mg at (0.000, 0.000, 0.000), H at (0.085, 0.250, 0.125) and Br at (0.000, 0.000, 0.500).

The value obtained for the electronic total energy is -37.8 eV per cell.

# 8
The following is a PBE-GGA calculation of a relaxed structure of ZnIn2Cl, from the Alexandria database.

It has space group I-4m2 (No. 119), with a = 4.341 Å, b = 4.341 Å, c = 11.053 Å, α = 90.00°, β = 90.00° and γ = 90.00°. The distinct sites, in fractional coordinates, are Zn at (0.000, 0.000, 0.000), In at (0.000, 0.000, 0.500), In at (0.000, 0.500, 0.250) and Cl at (0.000, 0.500, 0.750).

The value obtained for the electronic total energy is -18.5 eV per cell. The value obtained for the raw formation energy is -0.1626 eV/atom.